No. 1
The following is a PBE calculation of a relaxed SiHg2Au crystal, from Alexandria.

a b c (Å): 4.2767 4.2767 8.9508
angles (deg): 90.00 90.00 90.00
With the nearest neighbours (Å) after each atom.
Space group I-4m2 (No. 119)
Asymmetric unit:
Si 0.0000 0.0000 0.0000  8 Hg 3.02-3.10, 4 Au 3.10
Hg 0.0000 0.0000 0.5000  4 Si 3.02, 4 Hg 3.10, 4 Au 3.10
Hg 0.0000 0.5000 0.2500  4 Au 3.02, 4 Hg 3.10, 4 Si 3.10
Au 0.0000 0.5000 0.7500  8 Hg 3.02-3.10, 4 Si 3.10

The total energy comes out at -15.60 eV per cell. As for the uncorrected formation energy: 0.376 eV/atom.

---

No. 2
The following is a PBE calculation of a relaxed SiHg3Au3 crystal, from Alexandria.

a b c (Å): 10.5943 10.8433 5.4778
angles (deg): 90.00 90.00 90.00
With the nearest neighbours (Å) after each atom.
Space group Pnnm (No. 58)
Asymmetric unit:
Si 0.0761 0.1391 0.0000  4 Au 2.43-2.68
Hg 0.0285 0.8668 0.5000  2 Hg 2.91-2.95, 2 Si 2.96, 4 Au 3.05-3.25
Hg 0.0819 0.3791 0.5000  5 Au 2.86-2.90, 2 Hg 2.91-3.14
Hg 0.1454 0.6208 0.0000  4 Au 2.78-3.05
Au 0.1496 0.9024 0.0000  2 Si 2.43-2.68
Au 0.1647 0.3526 0.0000  1 Si 2.50
Au 0.1918 0.6244 0.5000  1 Si 2.46

The total energy comes out at -60.70 eV per cell. As for the uncorrected formation energy: 0.141 eV/atom.

---

No. 3
The following is a PBE calculation of a relaxed SiHgAu crystal, from Alexandria.

a b c (Å): 6.2933 6.2933 6.2933
angles (deg): 90.00 90.00 90.00
With the nearest neighbours (Å) after each atom.
Space group F-43m (No. 216)
Asymmetric unit:
Si 0.0000 0.0000 0.0000  4 Hg 2.73, 4 Au 2.73
Hg 0.2500 0.2500 0.7500  4 Si 2.73
Au 0.2500 0.2500 0.2500  4 Si 2.73

The total energy comes out at -33.31 eV per cell. As for the uncorrected formation energy: 0.225 eV/atom. As for the offset from the most stable computed form: 0.14 eV per formula unit.

---

No. 4
The following is a PBE calculation of a relaxed Si2HgAu2 crystal, from Alexandria.

a b c (Å): 8.2345 8.2345 2.8140
angles (deg): 90.00 90.00 90.00
With the nearest neighbours (Å) after each atom.
Space group P4/mbm (No. 127)
Asymmetric unit:
Si 0.1293 0.3707 0.0000  6 Au 2.79-2.81, 3 Si 2.81-3.01
Hg 0.0000 0.0000 0.5000  2 Hg 2.81, 4 Au 3.08
Au 0.1642 0.6642 0.5000  6 Si 2.79-2.81, 2 Au 2.81, 2 Hg 3.08

The total energy comes out at -32.73 eV per cell. As for the uncorrected formation energy: 0.267 eV/atom. As for the offset from the most stable computed form: 0.52 eV per formula unit.